Density functional theory data (GGA-PBE) for crystalline YHfPdAu at its relaxed geometry.

Structure (extended XYZ):
```
4
Lattice="-0.678 4.818 0.523 -4.473 1.913 -0.530 -2.402 1.723 3.900" Properties=species:S:1:pos:R:3 pbc="T T T"
Hf -1.888 2.114 0.973
Y -5.665 6.341 2.919
Pd -3.777 4.227 1.946
Au 0.000 0.000 0.000
```

Calculated values
Total magnetization in μB/f.u.: 0.00
Formation energy from the elements in eV/atom: -0.619